## NaZrC3 (PBE-GGA)

Data for a relaxed structure of NaZrC3.

Computed properties:
Calculated volume   17.1 A^3/atom
Calculated formation energy   1807 meV per atom

Cell: 4.4044 4.4044 4.4044 Å, 90.00 90.00 90.00°
Space group Pm-3m (No. 221)
One atom of each set of equivalent atoms:
Na 0.0000 0.0000 0.0000 [1 per cell]
Zr 0.5000 0.5000 0.5000 [1 per cell]
C 0.0000 0.5000 0.5000 [3 per cell]

---

## CdW2Br (PBE-GGA)

Data for a relaxed structure of CdW2Br.

Computed properties:
Calculated volume   17.4 A^3/atom
Formation energy from raw total energies   1.510 eV per atom

Cell: 6.5323 6.5323 6.5323 Å, 90.00 90.00 90.00°
Space group Fm-3m (No. 225)
One atom of each set of equivalent atoms:
Cd 0.0000 0.0000 0.0000 [4 per cell]
W 0.2500 0.2500 0.2500 [8 per cell]
Br 0.0000 0.0000 0.5000 [4 per cell]

---

## ZnBr (PBE-GGA)

Data for a relaxed structure of ZnBr.

Computed properties:
Calculated volume   33.7 A^3/atom
Formation energy from raw total energies   -0.067 eV per atom

Cell: 6.4625 6.4625 6.4625 Å, 90.00 90.00 90.00°
Space group F-43m (No. 216)
One atom of each set of equivalent atoms:
Zn 0.0000 0.0000 0.0000 [4 per cell]
Br 0.2500 0.2500 0.7500 [4 per cell]

---

## PmIn3Pt3 (PBE-GGA)

Data for a relaxed structure of PmIn3Pt3.

Computed properties:
Calculated volume   27.9 A^3/atom
Calculated formation energy   -72 meV per atom

Cell: 7.3112 7.3112 7.3112 Å, 90.00 90.00 90.00°
Space group Pm-3n (No. 223)
One atom of each set of equivalent atoms:
Pm 0.0000 0.0000 0.0000 [2 per cell]
In 0.0000 0.2500 0.5000 [6 per cell]
Pt 0.0000 0.5000 0.2500 [6 per cell]

---

## ScTeAu2 (PBE-GGA)

Data for a relaxed structure of ScTeAu2.

Computed properties:
Calculated volume   22.3 A^3/atom
Formation energy from raw total energies   -0.408 eV per atom

Cell: 3.2392 3.2392 8.5171 Å, 90.00 90.00 90.00°
Space group P4/mmm (No. 123)
One atom of each set of equivalent atoms:
Sc 0.0000 0.0000 0.0000 [1 per cell]
Te 0.0000 0.0000 0.5000 [1 per cell]
Au 0.5000 0.5000 0.2049 [2 per cell]

---

## BaNaBi2 (PBE-GGA)

Data for a relaxed structure of BaNaBi2.

Computed properties:
Calculated volume   36.5 A^3/atom
Calculated formation energy   -552 meV per atom

Cell: 8.3336 5.0736 13.8016 Å, 90.00 90.00 90.00°
Space group Pnma (No. 62)
One atom of each set of equivalent atoms:
Ba 0.2415 0.2500 0.1816 [4 per cell]
Na 0.1638 0.2500 0.4686 [4 per cell]
Bi 0.0623 0.7500 0.3290 [4 per cell]
Bi 0.0698 0.2500 0.9236 [4 per cell]

---

Question: Which of these has the highest calculated volume?
Answer: BaNaBi2

---

Question: What is the calculated volume in the second record?
Answer: 17.4 A^3/atom